# 1
{"formula": "AcSm6Er8", "functional": "PBE", "state": "relaxed", "ef_ev_per_atom": 0.460, "final_energy_ev_per_atom": -4.14, "magmom_total_mub_per_cell": 0.004, "mass_density_g_cm3": 7.6, "cell": [[-3.169, 6.233, 5.089], [-1.325, -1.538, 8.407], [6.253, 4.126, 6.189]], "species": ["Sm", "Sm", "Sm", "Sm", "Sm", "Sm", "Er", "Er", "Er", "Er", "Er", "Er", "Er", "Er", "Ac"], "frac_coords": [[0.351, 0.659, 0.839], [0.849, 0.649, 0.161], [0.151, 0.351, 0.839], [0.341, 0.849, 0.161], [0.649, 0.341, 0.161], [0.659, 0.151, 0.839], [0.213, 0.427, 0.413], [0.787, 0.573, 0.587], [0.427, 0.947, 0.413], [0.710, 0.710, 0.871], [0.573, 0.053, 0.587], [0.290, 0.290, 0.129], [0.947, 0.213, 0.413], [0.053, 0.787, 0.587], [0.000, 0.000, 0.000]]}

# 2
{"formula": "AcSm6Er5", "functional": "PBE", "state": "relaxed", "ef_ev_per_atom": 0.032, "final_energy_ev_per_atom": -4.57, "magmom_total_mub_per_cell": 0.000, "mass_density_g_cm3": 8.2, "cell": [[-6.994, 9.581, -1.359], [-0.573, 1.787, 5.962], [4.100, 4.022, 2.465]], "species": ["Sm", "Sm", "Sm", "Sm", "Sm", "Sm", "Er", "Er", "Er", "Er", "Er", "Ac"], "frac_coords": [[0.255, 0.915, 0.663], [0.255, 0.251, 0.000], [0.745, 0.422, 0.663], [0.745, 0.749, 0.000], [0.255, 0.578, 0.337], [0.745, 0.085, 0.337], [0.000, 0.333, 0.333], [0.500, 0.500, 0.000], [0.000, 0.667, 0.667], [0.500, 0.833, 0.334], [0.500, 0.167, 0.666], [0.000, 0.000, 0.000]]}

# 3
{"formula": "AcSm8Er4", "functional": "PBE", "state": "relaxed", "ef_ev_per_atom": 0.247, "final_energy_ev_per_atom": -4.38, "magmom_total_mub_per_cell": 0.000, "mass_density_g_cm3": 7.8, "cell": [[-1.462, -6.598, -2.887], [5.894, 0.908, 4.293], [-6.248, 1.899, 8.177]], "species": ["Er", "Er", "Er", "Er", "Sm", "Sm", "Sm", "Sm", "Sm", "Sm", "Sm", "Sm", "Ac"], "frac_coords": [[0.000, 0.000, 0.000], [0.500, 0.500, 0.000], [0.500, 0.000, 0.000], [0.000, 0.500, 0.000], [0.514, 0.757, 0.714], [0.043, 0.800, 0.286], [0.957, 0.757, 0.714], [0.957, 0.200, 0.714], [0.572, 0.786, 0.358], [0.486, 0.243, 0.286], [0.043, 0.243, 0.286], [0.428, 0.214, 0.642], [0.000, 0.500, 0.500]]}

# 4
{"formula": "AcSm6Er4", "functional": "PBE", "state": "relaxed", "ef_ev_per_atom": 0.133, "final_energy_ev_per_atom": -4.47, "magmom_total_mub_per_cell": 0.001, "mass_density_g_cm3": 8.0, "cell": [[5.904, 0.000, 0.000], [-2.952, 4.879, 0.000], [0.000, 0.000, 25.797]], "species": ["Sm", "Sm", "Sm", "Sm", "Sm", "Sm", "Sm", "Sm", "Sm", "Sm", "Sm", "Sm", "Er", "Er", "Er", "Er", "Er", "Er", "Er", "Er", "Ac", "Ac"], "frac_coords": [[0.880, 0.759, 0.821], [0.500, 0.000, 0.500], [0.445, 0.890, 0.250], [0.202, 0.403, 0.597], [0.120, 0.241, 0.179], [0.798, 0.597, 0.097], [0.798, 0.597, 0.403], [0.202, 0.403, 0.903], [0.120, 0.241, 0.321], [0.500, 0.000, 0.000], [0.555, 0.110, 0.750], [0.880, 0.759, 0.679], [0.454, 0.909, 0.123], [0.454, 0.909, 0.377], [0.150, 0.301, 0.457], [0.850, 0.699, 0.543], [0.150, 0.301, 0.043], [0.546, 0.091, 0.623], [0.850, 0.699, 0.957], [0.546, 0.091, 0.877], [0.214, 0.428, 0.750], [0.786, 0.572, 0.250]]}

Please write out number 3 again, unchanged.
{"formula": "AcSm8Er4", "functional": "PBE", "state": "relaxed", "ef_ev_per_atom": 0.247, "final_energy_ev_per_atom": -4.38, "magmom_total_mub_per_cell": 0.000, "mass_density_g_cm3": 7.8, "cell": [[-1.462, -6.598, -2.887], [5.894, 0.908, 4.293], [-6.248, 1.899, 8.177]], "species": ["Er", "Er", "Er", "Er", "Sm", "Sm", "Sm", "Sm", "Sm", "Sm", "Sm", "Sm", "Ac"], "frac_coords": [[0.000, 0.000, 0.000], [0.500, 0.500, 0.000], [0.500, 0.000, 0.000], [0.000, 0.500, 0.000], [0.514, 0.757, 0.714], [0.043, 0.800, 0.286], [0.957, 0.757, 0.714], [0.957, 0.200, 0.714], [0.572, 0.786, 0.358], [0.486, 0.243, 0.286], [0.043, 0.243, 0.286], [0.428, 0.214, 0.642], [0.000, 0.500, 0.500]]}